A plane-wave DFT calculation with SCAN was carried out for a PBEsol-optimized structure of IrOs.

a b c (Å): 9.863 2.727 6.432
angles (deg): 90.00 103.96 90.00
Space group Cm (No. 8)
Asymmetric unit:
Ir1 0.000 0.000 0.000 x2
Ir2 0.055 0.000 0.614 x2
Ir3 0.171 0.500 0.339 x2
Os1 0.226 0.500 0.949 x2
Os2 0.333 0.000 0.669 x2
Os3 0.389 0.000 0.277 x2

Energy of formation from the pure elements = 0.02 eV per atom
Size of the total moment = 0.00 μB/cell

***

A plane-wave DFT calculation with SCAN was carried out for a PBEsol-optimized structure of Ir5Os.

a b c (Å): 4.7179 4.7179 4.3791
angles (deg): 90.00 90.00 120.00
Space group P-62m (No. 189)
Asymmetric unit:
Ir1 0.0000 0.6687 0.0000 x3
Ir2 0.3333 0.6667 0.5000 x2
Os1 0.0000 0.0000 0.5000 x1

Energy of formation from the pure elements = 0.08 eV per atom
Size of the total moment = 0.00 μB/cell

***

A plane-wave DFT calculation with SCAN was carried out for a PBEsol-optimized structure of IrOs2.

a b c (Å): 4.727 4.330 8.194
angles (deg): 90.00 90.00 90.00
Space group Pnma (No. 62)
Asymmetric unit:
Ir1 0.165 0.250 0.166 x4
Os1 0.167 0.250 0.502 x4
Os2 0.169 0.250 0.833 x4

Energy of formation from the pure elements = -0.01 eV per atom
Size of the total moment = 0.00 μB/cell

***

A plane-wave DFT calculation with SCAN was carried out for a PBEsol-optimized structure of IrOs2.

a b c (Å): 2.7040 2.7040 6.6307
angles (deg): 90.00 90.00 120.00
Space group P-3m1 (No. 164)
Asymmetric unit:
Ir1 0.0000 0.0000 0.0000 x1
Os1 0.3333 0.6667 0.6623 x2

Energy of formation from the pure elements = 0.07 eV per atom
Size of the total moment = 0.00 μB/cell